TiBeO2 | PBE | optimized geometry

Calculated values
- Formation energy (no corrections): -2224.3 meV per atom

Cell: 5.020 5.020 5.020 Å, 127.20 127.20 77.93°
Atoms (fractional coordinates):
1 Ti 0.000 0.000 0.000
2 Ti 0.750 0.250 0.500
3 Be 0.250 0.750 0.500
4 Be 0.500 0.500 0.000
5 O 0.203 0.625 0.078
6 O 0.375 0.453 0.578
7 O 0.547 0.125 0.922
8 O 0.875 0.797 0.422